No. 1
# GGA-PBEsol KSrTl, relaxed
data_KSrTl
_space_group_name_H-M_alt 'P 3 m 1'
_space_group_IT_number 156
_space_group_name_Hall 'P 3 -2"'
_cell_length_a 5.8229
_cell_length_b 5.8229
_cell_length_c 3.9835
_cell_angle_alpha 90.00
_cell_angle_beta 90.00
_cell_angle_gamma 120.00
loop_
_atom_site_label
_atom_site_fract_x
_atom_site_fract_y
_atom_site_fract_z
_atom_site_occupancy
K1 0.0000 0.0000 0.0000 1
Sr1 0.6667 0.3333 0.3874 1
Tl1 0.3333 0.6667 0.7018 1
# Total magnetic moment (μB per formula unit): 0.0
# Energy of formation from the pure elements (eV per atom): -0.006
# E (eV/cell): -5.6



No. 2
# GGA-PBEsol K2SrTl2, relaxed
data_K2SrTl2
_space_group_name_H-M_alt 'I 4/m m m'
_space_group_IT_number 139
_space_group_name_Hall '-I 4 2'
_cell_length_a 4.8053
_cell_length_b 4.8053
_cell_length_c 16.5172
_cell_angle_alpha 90.00
_cell_angle_beta 90.00
_cell_angle_gamma 90.00
loop_
_atom_site_label
_atom_site_fract_x
_atom_site_fract_y
_atom_site_fract_z
_atom_site_occupancy
K1 0.0000 0.5000 0.2500 1
Sr1 0.0000 0.0000 0.0000 1
Tl1 0.0000 0.0000 0.4088 1
# Total magnetic moment (μB per formula unit): 0.0
# Energy of formation from the pure elements (eV per atom): -0.049
# E (eV/cell): -19.2



No. 3
# GGA-PBEsol K2SrW, relaxed
data_K2SrW
_space_group_name_H-M_alt 'P m m m'
_space_group_IT_number 47
_space_group_name_Hall '-P 2 2'
_cell_length_a 3.0752
_cell_length_b 6.4340
_cell_length_c 6.6298
_cell_angle_alpha 90.00
_cell_angle_beta 90.00
_cell_angle_gamma 90.00
loop_
_atom_site_label
_atom_site_fract_x
_atom_site_fract_y
_atom_site_fract_z
_atom_site_occupancy
K1 0.0000 0.0000 0.2260 1
Sr1 0.5000 0.5000 0.5000 1
W1 0.5000 0.5000 0.0000 1
# Total magnetic moment (μB per formula unit): 1.5
# Energy of formation from the pure elements (eV per atom): 1.559
# E (eV/cell): -11.7



No. 4
# GGA-PBEsol KSrW3, relaxed
data_KSrW3
_space_group_name_H-M_alt 'P m -3 m'
_space_group_IT_number 221
_space_group_name_Hall '-P 4 2 3'
_cell_length_a 4.9309
_cell_length_b 4.9309
_cell_length_c 4.9309
_cell_angle_alpha 90.00
_cell_angle_beta 90.00
_cell_angle_gamma 90.00
loop_
_atom_site_label
_atom_site_fract_x
_atom_site_fract_y
_atom_site_fract_z
_atom_site_occupancy
K1 0.0000 0.0000 0.0000 1
Sr1 0.5000 0.5000 0.5000 1
W1 0.0000 0.5000 0.5000 1
# Total magnetic moment (μB per formula unit): 0.0
# Energy of formation from the pure elements (eV per atom): 3.744
# E (eV/cell): -25.7



No. 5
# GGA-PBEsol K2SrY, relaxed
data_K2SrY
_space_group_name_H-M_alt 'I 4/m m m'
_space_group_IT_number 139
_space_group_name_Hall '-I 4 2'
_cell_length_a 5.3568
_cell_length_b 5.3568
_cell_length_c 13.6049
_cell_angle_alpha 90.00
_cell_angle_beta 90.00
_cell_angle_gamma 90.00
loop_
_atom_site_label
_atom_site_fract_x
_atom_site_fract_y
_atom_site_fract_z
_atom_site_occupancy
K1 0.0000 0.5000 0.2500 1
Sr1 0.0000 0.0000 0.0000 1
Y1 0.0000 0.0000 0.5000 1
# Total magnetic moment (μB per formula unit): 0.0
# Energy of formation from the pure elements (eV per atom): 0.477
# E above lowest polymorph (eV per atom): 0.0328
# E (eV/cell): -18.0



No. 6
# GGA-PBEsol K2SrY, relaxed
data_K2SrY
_space_group_name_H-M_alt 'F -4 3 m'
_space_group_IT_number 216
_space_group_name_Hall 'F -4 2 3'
_cell_length_a 9.2769
_cell_length_b 9.2769
_cell_length_c 9.2769
_cell_angle_alpha 90.00
_cell_angle_beta 90.00
_cell_angle_gamma 90.00
loop_
_atom_site_label
_atom_site_fract_x
_atom_site_fract_y
_atom_site_fract_z
_atom_site_occupancy
K1 0.0000 0.0000 0.0000 1
K2 0.2500 0.2500 0.2500 1
Sr1 0.2500 0.2500 0.7500 1
Y1 0.0000 0.0000 0.5000 1
# Total magnetic moment (μB per formula unit): 0.0
# Energy of formation from the pure elements (eV per atom): 0.513
# E above lowest polymorph (eV per atom): 0.0689
# E (eV/cell): -35.5



No. 7
# GGA-PBEsol KSr2Y, relaxed
data_KSr2Y
_space_group_name_H-M_alt 'P 4/m m m'
_space_group_IT_number 123
_space_group_name_Hall '-P 4 2'
_cell_length_a 6.6063
_cell_length_b 6.6063
_cell_length_c 4.1400
_cell_angle_alpha 90.00
_cell_angle_beta 90.00
_cell_angle_gamma 90.00
loop_
_atom_site_label
_atom_site_fract_x
_atom_site_fract_y
_atom_site_fract_z
_atom_site_occupancy
K1 0.0000 0.0000 0.0000 1
Sr1 0.0000 0.5000 0.5000 1
Y1 0.5000 0.5000 0.0000 1
# Total magnetic moment (μB per formula unit): 0.0
# Energy of formation from the pure elements (eV per atom): 0.310
# E (eV/cell): -10.4



No. 8
# GGA-PBEsol K2SrY, relaxed
data_K2SrY
_space_group_name_H-M_alt 'P 4/m m m'
_space_group_IT_number 123
_space_group_name_Hall '-P 4 2'
_cell_length_a 6.8282
_cell_length_b 6.8282
_cell_length_c 4.1902
_cell_angle_alpha 90.00
_cell_angle_beta 90.00
_cell_angle_gamma 90.00
loop_
_atom_site_label
_atom_site_fract_x
_atom_site_fract_y
_atom_site_fract_z
_atom_site_occupancy
K1 0.0000 0.5000 0.0000 1
Sr1 0.0000 0.0000 0.5000 1
Y1 0.5000 0.5000 0.5000 1
# Total magnetic moment (μB per formula unit): 0.0
# Energy of formation from the pure elements (eV per atom): 0.561
# E above lowest polymorph (eV per atom): 0.1167
# E (eV/cell): -8.7



No. 9
# GGA-PBEsol K2SrY, relaxed
data_K2SrY
_space_group_name_H-M_alt 'P m m m'
_space_group_IT_number 47
_space_group_name_Hall '-P 2 2'
_cell_length_a 3.6969
_cell_length_b 6.8937
_cell_length_c 7.5778
_cell_angle_alpha 90.00
_cell_angle_beta 90.00
_cell_angle_gamma 90.00
loop_
_atom_site_label
_atom_site_fract_x
_atom_site_fract_y
_atom_site_fract_z
_atom_site_occupancy
K1 0.0000 0.0000 0.2390 1
Sr1 0.5000 0.5000 0.5000 1
Y1 0.5000 0.5000 0.0000 1
# Total magnetic moment (μB per formula unit): 0.0
# Energy of formation from the pure elements (eV per atom): 0.444
# E above lowest polymorph (eV per atom): 0.0000
# E (eV/cell): -9.2



No. 10
# GGA-PBEsol K2SrY, relaxed
data_K2SrY
_space_group_name_H-M_alt 'P 4/m m m'
_space_group_IT_number 123
_space_group_name_Hall '-P 4 2'
_cell_length_a 5.3459
_cell_length_b 5.3459
_cell_length_c 6.8325
_cell_angle_alpha 90.00
_cell_angle_beta 90.00
_cell_angle_gamma 90.00
loop_
_atom_site_label
_atom_site_fract_x
_atom_site_fract_y
_atom_site_fract_z
_atom_site_occupancy
K1 0.0000 0.5000 0.0000 1
Sr1 0.0000 0.0000 0.5000 1
Y1 0.5000 0.5000 0.5000 1
# Total magnetic moment (μB per formula unit): 0.0
# Energy of formation from the pure elements (eV per atom): 0.476
# E above lowest polymorph (eV per atom): 0.0323
# E (eV/cell): -9.0



No. 11
# GGA-PBEsol KSr2Zn, relaxed
data_KSr2Zn
_space_group_name_H-M_alt 'F -4 3 m'
_space_group_IT_number 216
_space_group_name_Hall 'F -4 2 3'
_cell_length_a 8.6422
_cell_length_b 8.6422
_cell_length_c 8.6422
_cell_angle_alpha 90.00
_cell_angle_beta 90.00
_cell_angle_gamma 90.00
loop_
_atom_site_label
_atom_site_fract_x
_atom_site_fract_y
_atom_site_fract_z
_atom_site_occupancy
K1 0.0000 0.0000 0.0000 1
Sr1 0.0000 0.0000 0.5000 1
Sr2 0.2500 0.2500 0.7500 1
Zn1 0.2500 0.2500 0.2500 1
# Total magnetic moment (μB per formula unit): 0.0
# Energy of formation from the pure elements (eV per atom): 0.304
# E (eV/cell): -20.7



No. 12
# GGA-PBEsol KSr3Zn, relaxed
data_KSr3Zn
_space_group_name_H-M_alt 'P m -3 m'
_space_group_IT_number 221
_space_group_name_Hall '-P 4 2 3'
_cell_length_a 6.2538
_cell_length_b 6.2538
_cell_length_c 6.2538
_cell_angle_alpha 90.00
_cell_angle_beta 90.00
_cell_angle_gamma 90.00
loop_
_atom_site_label
_atom_site_fract_x
_atom_site_fract_y
_atom_site_fract_z
_atom_site_occupancy
K1 0.0000 0.0000 0.0000 1
Sr1 0.0000 0.5000 0.5000 1
Zn1 0.5000 0.5000 0.5000 1
# Total magnetic moment (μB per formula unit): 0.0
# Energy of formation from the pure elements (eV per atom): 0.027
# E (eV/cell): -8.1



No. 13
# GGA-PBEsol KSr2Zn, relaxed
data_KSr2Zn
_space_group_name_H-M_alt 'P 4/m m m'
_space_group_IT_number 123
_space_group_name_Hall '-P 4 2'
_cell_length_a 3.9319
_cell_length_b 3.9319
_cell_length_c 10.8245
_cell_angle_alpha 90.00
_cell_angle_beta 90.00
_cell_angle_gamma 90.00
loop_
_atom_site_label
_atom_site_fract_x
_atom_site_fract_y
_atom_site_fract_z
_atom_site_occupancy
K1 0.0000 0.0000 0.0000 1
Sr1 0.5000 0.5000 0.3310 1
Zn1 0.0000 0.0000 0.5000 1
# Total magnetic moment (μB per formula unit): 0.0
# Energy of formation from the pure elements (eV per atom): -0.033
# E (eV/cell): -6.5



No. 14
# GGA-PBEsol K2SrZr, relaxed
data_K2SrZr
_space_group_name_H-M_alt 'P 4/m m m'
_space_group_IT_number 123
_space_group_name_Hall '-P 4 2'
_cell_length_a 3.5433
_cell_length_b 3.5433
_cell_length_c 13.4384
_cell_angle_alpha 90.00
_cell_angle_beta 90.00
_cell_angle_gamma 90.00
loop_
_atom_site_label
_atom_site_fract_x
_atom_site_fract_y
_atom_site_fract_z
_atom_site_occupancy
K1 0.0000 0.0000 0.2218 1
Sr1 0.5000 0.5000 0.5000 1
Zr1 0.5000 0.5000 0.0000 1
# Total magnetic moment (μB per formula unit): 2.1
# Energy of formation from the pure elements (eV per atom): 0.802
# E above lowest polymorph (eV per atom): 0.0000
# E (eV/cell): -10.0



No. 15
# GGA-PBEsol K2SrZr, relaxed
data_K2SrZr
_space_group_name_H-M_alt 'I 4/m m m'
_space_group_IT_number 139
_space_group_name_Hall '-I 4 2'
_cell_length_a 5.0923
_cell_length_b 5.0923
_cell_length_c 13.2592
_cell_angle_alpha 90.00
_cell_angle_beta 90.00
_cell_angle_gamma 90.00
loop_
_atom_site_label
_atom_site_fract_x
_atom_site_fract_y
_atom_site_fract_z
_atom_site_occupancy
K1 0.0000 0.5000 0.2500 1
Sr1 0.0000 0.0000 0.0000 1
Zr1 0.0000 0.0000 0.5000 1
# Total magnetic moment (μB per formula unit): 2.6
# Energy of formation from the pure elements (eV per atom): 0.895
# E above lowest polymorph (eV per atom): 0.0926
# E (eV/cell): -19.2